Here is a relaxed AcMnSe2F crystal from the Alexandria database. Energies are from PBE with a Hubbard U.

a = 4.1538 Å, b = 7.0656 Å, c = 8.2979 Å
α = 107.85°, β = 90.00°, γ = 90.00°
Element x y z (fractional)
Se  0.2500  0.2395  0.9696
Se  0.7500  0.8489  0.6106
Se  0.7500  0.7605  0.0304
Se  0.2500  0.1511  0.3894
F  0.2500  0.5221  0.7151
F  0.7500  0.4779  0.2849
Ac  0.2500  0.6775  0.3003
Ac  0.7500  0.3225  0.6997
Mn  0.2500  0.8474  0.8278
Mn  0.7500  0.1526  0.1722

Calculated values
Calculated density: 6.6 Mg/m³
SG: P2_1/m (11)
Total DFT energy (no corrections): -30.56 eV/f.u.